Record 1
The following is a PBEsol calculation of a relaxed structure of DyB2Ru3, from Alexandria.

Structure (POSCAR):
```
DyB2Ru3
1.0
2.9906 0.0000 0.0000
0.0000 5.4448 0.0000
0.0000 -2.7224 4.7153
Ru Dy B
3 1 2
Cartesian
1.4953 -1.3612 2.3577
1.4953 2.7224 0.0000
1.4953 1.3612 2.3577
0.0000 0.0000 0.0000
0.0000 0.0000 3.1435
0.0000 2.7224 1.5718
```

Summary:
- Energy relative to the elements: -0.48 eV per atom
- Total magnetization: 0.00 μB per formula unit
- Fermi-level density of states: 0.681 states/eV/atom
- E_tot: -52.44 eV per formula unit



Record 2
The following is a PBEsol calculation of a relaxed structure of BaSr2Pt2, from Alexandria.

Structure (POSCAR):
```
BaSr2Pt2
1.0
4.4411 0.0000 0.0000
0.0000 8.0726 0.0000
0.0000 0.0000 8.0726
Sr Ba Pt
4 2 4
Cartesian
2.2206 2.7371 1.2992
2.2206 1.2992 5.3355
2.2206 6.7734 2.7371
2.2206 5.3355 6.7734
0.0000 4.0363 4.0363
0.0000 0.0000 0.0000
0.0000 3.0674 7.1037
0.0000 5.0052 0.9689
0.0000 0.9689 3.0674
0.0000 7.1037 5.0052
```

Summary:
- Energy relative to the elements: -0.60 eV per atom
- Total magnetization: 0.00 μB per formula unit
- Fermi-level density of states: 0.200 states/eV/atom
- E_tot: -22.76 eV per formula unit



Record 3
The following is a PBEsol calculation of a relaxed structure of SbWSe2, from Alexandria.

Structure (POSCAR):
```
SbWSe2
1.0
-0.4783 -1.2682 -2.8728
0.4324 -4.2967 1.8248
-5.6444 -0.0512 1.2171
Sb Se W
1 2 1
Cartesian
-1.5258 -2.6489 0.1466
-4.2281 -2.8942 0.2093
-5.1581 -0.1021 0.9820
-3.4840 -0.6817 -0.7796
```

Summary:
- Total magnetization: 0.00 μB per formula unit
- Fermi-level density of states: 0.720 states/eV/atom
- E_tot: -24.63 eV per formula unit



Record 4
The following is a PBEsol calculation of a relaxed structure of CuNi2Ru, from Alexandria.

Structure (POSCAR):
```
CuNi2Ru
1.0
-2.2979 -0.7835 -0.8104
1.1028 -1.1811 -1.9850
0.6325 -5.7682 3.7835
Ru Ni Cu
1 2 1
Cartesian
-0.5976 -0.9823 -1.3977
0.1608 -1.4662 0.9617
0.4717 -4.3020 2.8217
-0.2814 -3.8664 0.4940
```

Summary:
- Energy relative to the elements: 0.07 eV per atom
- Total magnetization: 0.00 μB per formula unit
- Fermi-level density of states: 1.313 states/eV/atom
- E_tot: -26.53 eV per formula unit
- Distance to the lowest polymorph of the same formula: 0 meV per atom



Record 5
The following is a PBEsol calculation of a relaxed structure of CoSb2PtF, from Alexandria.

Structure (POSCAR):
```
CoSb2PtF
1.0
-1.5378 -3.3411 2.1561
3.0809 -2.7972 -2.1372
3.0895 0.7872 3.4234
F Co Pt Sb
1 1 1 2
Cartesian
0.0000 0.0000 0.0000
2.3163 -2.6755 1.7211
-0.7689 -1.6705 1.0780
1.5447 0.3936 1.7117
1.5405 -1.3986 -1.0686
```

Summary:
- Total magnetization: 1.72 μB per formula unit
- Fermi-level density of states: 1.214 states/eV/atom
- E_tot: -22.99 eV per formula unit



Record 6
The following is a PBEsol calculation of a relaxed structure of Ga2As2W, from Alexandria.

Structure (POSCAR):
```
Ga2As2W
1.0
-0.9108 -3.1795 0.5057
2.9871 -0.6385 1.3654
-3.9322 3.8927 6.3238
As Ga W
2 2 1
Cartesian
-2.3985 1.6440 6.0161
0.5425 -1.5693 2.1787
-1.9025 -0.5979 3.8825
0.0465 0.6726 4.3123
0.0000 0.0000 0.0000
```

Summary:
- Energy relative to the elements: 0.35 eV per atom
- Total magnetization: 0.00 μB per formula unit
- Fermi-level density of states: 0.486 states/eV/atom
- E_tot: -28.94 eV per formula unit



Record 7
The following is a PBEsol calculation of a relaxed structure of KMg2Se, from Alexandria.

Structure (POSCAR):
```
KMg2Se
1.0
4.0119 0.0000 0.0000
-2.0059 3.4802 -0.0129
0.0000 -2.2459 8.9131
Se Mg K
1 2 1
Cartesian
2.0059 -1.1175 4.9496
2.0059 1.2230 8.4631
0.0000 0.0482 6.1163
2.0059 1.1919 2.7280
```

Summary:
- Total magnetization: 0.00 μB per formula unit
- Fermi-level density of states: 0.440 states/eV/atom
- E_tot: -10.24 eV per formula unit



Record 8
The following is a PBEsol calculation of a relaxed structure of Cs3BiBr, from Alexandria.

Structure (POSCAR):
```
Cs3BiBr
1.0
6.6496 0.0000 0.0000
0.0000 6.6496 0.0000
0.0000 0.0000 6.6496
Cs Bi Br
3 1 1
Cartesian
0.0000 0.0000 3.3248
0.0000 3.3248 0.0000
3.3248 0.0000 0.0000
3.3248 3.3248 3.3248
0.0000 0.0000 0.0000
```

Summary:
- Total magnetization: 1.03 μB per formula unit
- Fermi-level density of states: 1.015 states/eV/atom
- E_tot: -12.49 eV per formula unit



> The highest Fermi-level density of states belongs to which entry?

CuNi2Ru



> Which of these has the highest Fermi-level density of states?

CuNi2Ru